# Cr2SiIr PBE optimized geometry
data_Cr2SiIr
_chemical_formula_sum 'Cr6 Si3 Ir3'
_cell_length_a 2.6720
_cell_length_b 2.6720
_cell_length_c 24.7581
_cell_angle_alpha 90.00
_cell_angle_beta 90.00
_cell_angle_gamma 120.00
_space_group_name_H-M_alt 'R -3 m'
_space_group_IT_number 166
_space_group_name_Hall '-R 3 2"'
loop_
_atom_site_label
_atom_site_fract_x
_atom_site_fract_y
_atom_site_fract_z
_atom_site_occupancy
Cr1 0.0000 0.0000 0.2481 1
Si1 0.0000 0.0000 0.5000 1
Ir1 0.0000 0.0000 0.0000 1
# **Energy relative to the elements, uncorrected**: -0.048 eV/atom
# **V**: 153 Å³/cell
# **Crystal system**: trigonal

***

# Cr5SiIr6 PBE optimized geometry
data_Cr5SiIr6
_chemical_formula_sum 'Cr10 Si2 Ir12'
_cell_length_a 3.9176
_cell_length_b 7.0737
_cell_length_c 11.6883
_cell_angle_alpha 90.00
_cell_angle_beta 90.00
_cell_angle_gamma 90.00
_space_group_name_H-M_alt 'I m m m'
_space_group_IT_number 71
_space_group_name_Hall '-I 2 2'
loop_
_atom_site_label
_atom_site_fract_x
_atom_site_fract_y
_atom_site_fract_z
_atom_site_occupancy
Cr1 0.0000 0.0000 0.0000 1
Cr2 0.0000 0.0000 0.3088 1
Cr3 0.0000 0.5000 0.3493 1
Si1 0.0000 0.5000 0.0000 1
Ir1 0.0000 0.2145 0.5000 1
Ir2 0.0000 0.2668 0.1678 1
# **Energy relative to the elements, uncorrected**: -0.271 eV/atom
# **V**: 324 Å³/cell
# **Crystal system**: orthorhombic

***

# Cr2SiIr PBE optimized geometry
data_Cr2SiIr
_chemical_formula_sum 'Cr4 Si2 Ir2'
_cell_length_a 4.8468
_cell_length_b 7.7962
_cell_length_c 2.6849
_cell_angle_alpha 90.00
_cell_angle_beta 90.00
_cell_angle_gamma 90.00
_space_group_name_H-M_alt 'C m m m'
_space_group_IT_number 65
_space_group_name_Hall '-C 2 2'
loop_
_atom_site_label
_atom_site_fract_x
_atom_site_fract_y
_atom_site_fract_z
_atom_site_occupancy
Cr1 0.2500 0.2500 0.0000 1
Si1 0.0000 0.0000 0.5000 1
Ir1 0.0000 0.5000 0.5000 1
# **Energy relative to the elements, uncorrected**: -0.174 eV/atom
# **V**: 101 Å³/cell
# **Crystal system**: orthorhombic

***

# Cr2SiIr PBE optimized geometry
data_Cr2SiIr
_chemical_formula_sum 'Cr2 Si1 Ir1'
_cell_length_a 2.7333
_cell_length_b 4.0829
_cell_length_c 4.5549
_cell_angle_alpha 90.00
_cell_angle_beta 90.00
_cell_angle_gamma 90.00
_space_group_name_H-M_alt 'P m m 2'
_space_group_IT_number 25
_space_group_name_Hall 'P 2 -2'
loop_
_atom_site_label
_atom_site_fract_x
_atom_site_fract_y
_atom_site_fract_z
_atom_site_occupancy
Cr1 0.0000 0.0000 0.0000 1
Cr2 0.0000 0.5000 0.2678 1
Si1 0.5000 0.0000 0.4558 1
Ir1 0.5000 0.5000 0.7616 1
# **Energy relative to the elements, uncorrected**: -0.252 eV/atom
# **V**: 51 Å³/cell
# **Crystal system**: orthorhombic

***

# CrSiIr2 PBE optimized geometry
data_CrSiIr2
_chemical_formula_sum 'Cr2 Si2 Ir4'
_cell_length_a 5.5986
_cell_length_b 6.8828
_cell_length_c 2.8172
_cell_angle_alpha 90.00
_cell_angle_beta 90.00
_cell_angle_gamma 90.00
_space_group_name_H-M_alt 'C m m m'
_space_group_IT_number 65
_space_group_name_Hall '-C 2 2'
loop_
_atom_site_label
_atom_site_fract_x
_atom_site_fract_y
_atom_site_fract_z
_atom_site_occupancy
Cr1 0.0000 0.0000 0.0000 1
Si1 0.0000 0.5000 0.0000 1
Ir1 0.2500 0.2500 0.5000 1
# **Energy relative to the elements, uncorrected**: -0.308 eV/atom
# **V**: 109 Å³/cell
# **Crystal system**: orthorhombic

***

# CrSiIr2 PBE optimized geometry
data_CrSiIr2
_chemical_formula_sum 'Cr2 Si2 Ir4'
_cell_length_a 3.9066
_cell_length_b 3.9066
_cell_length_c 7.0690
_cell_angle_alpha 90.00
_cell_angle_beta 90.00
_cell_angle_gamma 90.00
_space_group_name_H-M_alt 'I 4/m m m'
_space_group_IT_number 139
_space_group_name_Hall '-I 4 2'
loop_
_atom_site_label
_atom_site_fract_x
_atom_site_fract_y
_atom_site_fract_z
_atom_site_occupancy
Cr1 0.0000 0.0000 0.0000 1
Si1 0.0000 0.0000 0.5000 1
Ir1 0.0000 0.5000 0.2500 1
# **Energy relative to the elements, uncorrected**: -0.388 eV/atom
# **V**: 108 Å³/cell
# **Crystal system**: tetragonal

***

# CrSiIr2 PBE optimized geometry
data_CrSiIr2
_chemical_formula_sum 'Cr1 Si1 Ir2'
_cell_length_a 2.7540
_cell_length_b 3.8961
_cell_length_c 5.2258
_cell_angle_alpha 90.00
_cell_angle_beta 103.58
_cell_angle_gamma 90.00
_space_group_name_H-M_alt 'P 1 2/m 1'
_space_group_IT_number 10
_space_group_name_Hall '-P 2y'
loop_
_atom_site_label
_atom_site_fract_x
_atom_site_fract_y
_atom_site_fract_z
_atom_site_occupancy
Cr1 0.0000 0.0000 0.0000 1
Si1 0.0000 0.0000 0.5000 1
Ir1 0.3746 0.5000 0.7445 1
# **Energy relative to the elements, uncorrected**: -0.245 eV/atom
# **V**: 55 Å³/cell
# **Crystal system**: monoclinic

***

# Cr2SiIr PBE optimized geometry
data_Cr2SiIr
_chemical_formula_sum 'Cr2 Si1 Ir1'
_cell_length_a 2.6925
_cell_length_b 3.8639
_cell_length_c 4.8483
_cell_angle_alpha 90.00
_cell_angle_beta 90.00
_cell_angle_gamma 90.00
_space_group_name_H-M_alt 'P m m m'
_space_group_IT_number 47
_space_group_name_Hall '-P 2 2'
loop_
_atom_site_label
_atom_site_fract_x
_atom_site_fract_y
_atom_site_fract_z
_atom_site_occupancy
Cr1 0.0000 0.0000 0.2209 1
Si1 0.5000 0.5000 0.0000 1
Ir1 0.5000 0.5000 0.5000 1
# **Energy relative to the elements, uncorrected**: -0.276 eV/atom
# **V**: 50 Å³/cell
# **Crystal system**: orthorhombic